## w
Material: ZrTi2VC
Method: DFT, PBE
State: relaxed

Lattice parameters (Å, degrees): 4.313 4.313 4.080 90.00 90.00 90.00
Positions (direct):
Zr  0.000  0.000  0.000
Ti  0.000  0.500  0.500
Ti  0.500  0.000  0.500
V  0.500  0.500  0.000
C  0.500  0.500  0.500

SG = P4/mmm (123)
DOS at the Fermi energy = 1.153 states/eV/atom
Volume = 15.182 A^3/atom

## x
Material: ZrTi2VC
Method: DFT, PBE
State: relaxed

Lattice parameters (Å, degrees): 4.826 4.826 4.540 90.00 90.00 90.00
Positions (direct):
Zr  0.000  0.000  0.000
Ti  0.000  0.500  0.000
Ti  0.500  0.000  0.000
V  0.000  0.000  0.500
C  0.500  0.500  0.500

SG = P4/mmm (123)
DOS at the Fermi energy = 1.203 states/eV/atom
Volume = 21.148 A^3/atom

It turns out w is the most stable, with the second structure 2744 meV per atom higher.